# PmErRuPb | the Alexandria database | GGA-PBE | relaxed
# - ΔE to the lowest computed polymorph: 0.209 eV per atom
# - Final energy: -5.80 eV/atom
# - Size of the total moment: 0.01 μB/cell
data_PmErRuPb
_cell_length_a 7.304
_cell_length_b 7.304
_cell_length_c 7.304
_cell_angle_alpha 90.00
_cell_angle_beta 90.00
_cell_angle_gamma 90.00
_symmetry_space_group_name_H-M 'F -4 3 m'
_symmetry_Int_Tables_number 216
_symmetry_space_group_name_Hall 'F -4 2 3'
loop_
_atom_site_label
_atom_site_type_symbol
_atom_site_fract_x
_atom_site_fract_y
_atom_site_fract_z
Pm1 Pm 0.000 0.000 0.000
Er1 Er 0.000 0.000 0.500
Ru1 Ru 0.250 0.250 0.250
Pb1 Pb 0.250 0.250 0.750


# PmErPbSe | the Alexandria database | GGA-PBE | relaxed
# - Final energy: -5.23 eV/atom
# - Energy relative to the elements, uncorrected: -1.099 eV per atom
# - Size of the total moment: 0.00 μB/cell
data_PmErPbSe
_cell_length_a 4.351
_cell_length_b 4.351
_cell_length_c 6.063
_cell_angle_alpha 90.00
_cell_angle_beta 90.00
_cell_angle_gamma 90.00
_symmetry_space_group_name_H-M 'P 4/m m m'
_symmetry_Int_Tables_number 123
_symmetry_space_group_name_Hall '-P 4 2'
loop_
_atom_site_label
_atom_site_type_symbol
_atom_site_fract_x
_atom_site_fract_y
_atom_site_fract_z
Pm1 Pm 0.000 0.000 0.000
Er1 Er 0.500 0.500 0.500
Pb1 Pb 0.500 0.500 0.000
Se1 Se 0.000 0.000 0.500